The following is a DFT calculation (PBE-GGA) of an optimized crystal structure of TmZn3Ag10.

a = 9.1644 Å, b = 9.1644 Å, c = 9.1644 Å
α = 60.00°, β = 60.00°, γ = 60.00°
Fractional coordinates of all 28 atoms:
Tm 0.2500 0.2500 0.2500
Tm 0.7500 0.7500 0.7500
Zn 0.2292 0.2292 0.7708
Zn 0.2292 0.7708 0.2292
Zn 0.2292 0.7708 0.7708
Zn 0.7708 0.2292 0.2292
Zn 0.7708 0.2292 0.7708
Zn 0.7708 0.7708 0.2292
Ag 0.1208 0.1208 0.1208
Ag 0.1208 0.1208 0.6375
Ag 0.1208 0.6375 0.1208
Ag 0.1535 0.5000 0.5000
Ag 0.1535 0.5000 0.8465
Ag 0.1535 0.8465 0.5000
Ag 0.3625 0.8792 0.8792
Ag 0.5000 0.1535 0.5000
Ag 0.5000 0.1535 0.8465
Ag 0.5000 0.5000 0.1535
Ag 0.5000 0.5000 0.8465
Ag 0.5000 0.8465 0.1535
Ag 0.5000 0.8465 0.5000
Ag 0.6375 0.1208 0.1208
Ag 0.8465 0.1535 0.5000
Ag 0.8465 0.5000 0.1535
Ag 0.8465 0.5000 0.5000
Ag 0.8792 0.3625 0.8792
Ag 0.8792 0.8792 0.3625
Ag 0.8792 0.8792 0.8792

The energy of formation from the pure elements is 64 meV per atom.